Entry 1:
La2MnSnPd6: relaxed, PBE.

Summary:
Calculated total energy ... -59.8 eV per cell

a = 5.6137 Å, b = 6.5992 Å, c = 6.7187 Å
α = 73.07°, β = 65.41°, γ = 64.94°
With the nearest neighbours (Å) after each atom.
Fractional positions:
La 0.0012 0.2438 0.2534  5 Pd 2.89-3.16
La 0.9988 0.7562 0.7466  5 Pd 2.89-3.16
Mn 0.5000 0.0000 0.5000  6 Pd 2.54-2.66
Sn 0.5000 0.5000 0.0000  6 Pd 2.66-2.77
Pd 0.0100 0.1887 0.7982  1 Mn 2.66, 4 Pd 2.76-2.90, 1 Sn 2.77
Pd 0.3162 0.4298 0.4392  1 Mn 2.54, 1 Sn 2.66, 2 Pd 2.82
Pd 0.4976 0.8126 0.2002  1 Mn 2.66, 1 Sn 2.76, 4 Pd 2.76-2.91
Pd 0.5024 0.1874 0.7998  1 Mn 2.66, 1 Sn 2.76, 4 Pd 2.76-2.91
Pd 0.6838 0.5702 0.5608  1 Mn 2.54, 1 Sn 2.66, 2 Pd 2.82
Pd 0.9900 0.8113 0.2018  1 Mn 2.66, 4 Pd 2.76-2.90, 1 Sn 2.77

=====

Entry 2:
LaMn2SnPd: relaxed, PBE.

Summary:
Calculated total energy ... -26.7 eV per cell

a = 5.0293 Å, b = 5.0293 Å, c = 5.1106 Å
α = 90.00°, β = 90.00°, γ = 90.00°
With the nearest neighbours (Å) after each atom.
Fractional positions:
La 0.0000 0.0000 0.0000  4 Mn 2.51, 2 Pd 2.56
Mn 0.0000 0.5000 0.0000  2 La 2.51
Mn 0.5000 0.0000 0.0000  2 La 2.51
Sn 0.5000 0.5000 0.5000  4 Pd 3.56, 8 Mn 3.59
Pd 0.0000 0.0000 0.5000  2 La 2.56

=====

Entry 3:
La2MnZnPd: relaxed, PBE.

Summary:
Calculated total energy ... -25.5 eV per cell

a = 5.0933 Å, b = 5.0933 Å, c = 4.6477 Å
α = 90.00°, β = 90.00°, γ = 90.00°
With the nearest neighbours (Å) after each atom.
Fractional positions:
La 0.0000 0.5000 0.0000  2 Mn 2.55
La 0.5000 0.0000 0.0000  2 Mn 2.55
Mn 0.0000 0.0000 0.0000  2 Zn 2.32, 4 La 2.55
Zn 0.0000 0.0000 0.5000  2 Mn 2.32
Pd 0.5000 0.5000 0.5000  8 La 3.45, 4 Zn 3.60

=====

Entry 4:
La2ZrMnPd: relaxed, PBE.

Summary:
Calculated total energy ... -30.7 eV per cell

a = 5.6497 Å, b = 5.6497 Å, c = 5.1364 Å
α = 90.00°, β = 90.00°, γ = 90.00°
With the nearest neighbours (Å) after each atom.
Fractional positions:
La 0.0000 0.5000 0.0000  2 Pd 2.82
La 0.5000 0.0000 0.0000  2 Pd 2.82
Zr 0.0000 0.0000 0.5000  2 Pd 2.57
Mn 0.5000 0.5000 0.5000  8 La 3.82, 4 Zr 3.99
Pd 0.0000 0.0000 0.0000  2 Zr 2.57, 4 La 2.82

=====

Entry 5:
La3PmMn: relaxed, PBE.

Summary:
Calculated total energy ... -27.6 eV per cell

a = 5.4289 Å, b = 5.4289 Å, c = 5.4289 Å
α = 90.00°, β = 90.00°, γ = 90.00°
With the nearest neighbours (Å) after each atom.
Fractional positions:
La 0.0000 0.0000 0.5000  2 Mn 2.71
La 0.0000 0.5000 0.0000  2 Mn 2.71
La 0.5000 0.0000 0.0000  2 Mn 2.71
Pm 0.5000 0.5000 0.5000  12 La 3.84
Mn 0.0000 0.0000 0.0000  6 La 2.71

=====

Entry 6:
La2PmMn: relaxed, PBE.

Summary:
Calculated total energy ... -23.1 eV per cell

a = 3.6834 Å, b = 3.6834 Å, c = 9.0529 Å
α = 90.00°, β = 90.00°, γ = 90.00°
With the nearest neighbours (Å) after each atom.
Fractional positions:
La 0.0000 0.0000 0.2084  4 Mn 3.22
La 0.0000 0.0000 0.7916  4 Mn 3.22
Pm 0.5000 0.5000 0.5000  4 Pm 3.68, 8 La 3.71
Mn 0.5000 0.5000 0.0000  8 La 3.22

=====

Entry 7:
LaPmMn: relaxed, PBE.

Summary:
Calculated total energy ... -73.0 eV per cell

a = 12.1844 Å, b = 4.0576 Å, c = 8.4918 Å
α = 90.00°, β = 128.26°, γ = 90.00°
With the nearest neighbours (Å) after each atom.
Fractional positions:
La 0.1857 0.0000 0.1023  2 Mn 2.90
La 0.3143 0.5000 0.8977  2 Mn 2.90
La 0.6857 0.5000 0.1023  2 Mn 2.90
La 0.8143 0.0000 0.8977  2 Mn 2.90
Pm 0.0817 0.5000 0.3680  4 Mn 2.98-3.01
Pm 0.4183 0.0000 0.6320  4 Mn 2.98-3.01
Pm 0.5817 0.0000 0.3680  4 Mn 2.98-3.01
Pm 0.9183 0.5000 0.6320  4 Mn 2.98-3.01
Mn 0.1046 0.0000 0.6489  1 Mn 2.22
Mn 0.3954 0.5000 0.3511  1 Mn 2.22
Mn 0.6046 0.5000 0.6489  1 Mn 2.22
Mn 0.8954 0.0000 0.3511  1 Mn 2.22

=====

Entry 8:
LaPr2Mn: relaxed, PBE.

Summary:
Calculated total energy ... -22.9 eV per cell

a = 3.6931 Å, b = 3.6931 Å, c = 9.0958 Å
α = 90.00°, β = 90.00°, γ = 90.00°
With the nearest neighbours (Å) after each atom.
Fractional positions:
La 0.0000 0.0000 0.0000  4 La 3.69, 8 Pr 3.77
Pr 0.5000 0.5000 0.2986  4 Mn 3.19
Pr 0.5000 0.5000 0.7014  4 Mn 3.19
Mn 0.0000 0.0000 0.5000  8 Pr 3.19

=====

Entry 9:
La2PrMnS5: relaxed, PBE.

Summary:
E_form (uncorrected) ... -1.788 eV per atom
Calculated total energy ... -121.1 eV per cell

a = 8.7100 Å, b = 8.7100 Å, c = 12.2953 Å
α = 90.00°, β = 90.00°, γ = 153.31°
With the nearest neighbours (Å) after each atom.
Fractional positions:
La 0.1173 0.8827 0.5000  8 S 2.99-3.10
La 0.1251 0.8749 0.1544  8 S 2.96-3.30
La 0.8749 0.1251 0.6544  8 S 2.96-3.30
La 0.8827 0.1173 0.0000  8 S 2.99-3.10
Pr 0.1808 0.8192 0.8372  6 S 2.82-2.90
Pr 0.8192 0.1808 0.3372  6 S 2.82-2.90
Mn 0.4536 0.5464 0.2320  4 S 2.30-2.41
Mn 0.5464 0.4536 0.7320  4 S 2.30-2.41
S 0.0111 0.9889 0.8203  2 Mn 2.36
S 0.2990 0.7010 0.5020  2 Pr 2.87, 3 La 3.03-3.08
S 0.3195 0.6805 0.1674  1 Mn 2.41
S 0.3468 0.6532 0.8266  1 Pr 2.82, 4 La 2.96-2.99
S 0.4911 0.5089 0.5613  1 Mn 2.30
S 0.5089 0.4911 0.0613  1 Mn 2.30
S 0.6532 0.3468 0.3266  1 Pr 2.82, 4 La 2.96-2.99
S 0.6805 0.3195 0.6674  1 Mn 2.41
S 0.7010 0.2990 0.0020  2 Pr 2.87, 3 La 3.03-3.08
S 0.9889 0.0111 0.3203  2 Mn 2.36

=====

Entry 10:
La2PrMnSe5: relaxed, PBE.

Summary:
E_form (uncorrected) ... -1.640 eV per atom
Calculated total energy ... -112.0 eV per cell

a = 9.1261 Å, b = 9.1261 Å, c = 12.7738 Å
α = 90.00°, β = 90.00°, γ = 153.60°
With the nearest neighbours (Å) after each atom.
Fractional positions:
La 0.1194 0.8806 0.5000  8 Se 3.11-3.25
La 0.1204 0.8796 0.1530  7 Se 3.09-3.21
La 0.8796 0.1204 0.6530  7 Se 3.09-3.21
La 0.8806 0.1194 0.0000  8 Se 3.11-3.25
Pr 0.1809 0.8191 0.8341  6 Se 2.96-3.02
Pr 0.8191 0.1809 0.3341  6 Se 2.96-3.02
Mn 0.4493 0.5507 0.2309  4 Se 2.44-2.54
Mn 0.5507 0.4493 0.7309  4 Se 2.44-2.54
Se 0.0124 0.9876 0.8233  2 Mn 2.49
Se 0.3014 0.6986 0.5010  2 Pr 3.00, 3 La 3.17-3.23
Se 0.3148 0.6852 0.1631  1 Mn 2.54
Se 0.3472 0.6528 0.8253  1 Pr 2.96, 4 La 3.09-3.11
Se 0.4932 0.5068 0.5576  1 Mn 2.44
Se 0.5068 0.4932 0.0576  1 Mn 2.44
Se 0.6528 0.3472 0.3253  1 Pr 2.96, 4 La 3.09-3.11
Se 0.6852 0.3148 0.6631  1 Mn 2.54
Se 0.6986 0.3014 0.0010  2 Pr 3.00, 3 La 3.17-3.23
Se 0.9876 0.0124 0.3233  2 Mn 2.49

=====

Entry 11:
LaPrMn4Si4: relaxed, PBE.

Summary:
E_form (uncorrected) ... -0.546 eV per atom
Calculated total energy ... -73.5 eV per cell

a = 3.9965 Å, b = 3.9965 Å, c = 10.6066 Å
α = 90.00°, β = 90.00°, γ = 90.00°
With the nearest neighbours (Å) after each atom.
Fractional positions:
La 0.0000 0.0000 0.0000  8 Si 3.14, 8 Mn 3.33
Pr 0.5000 0.5000 0.5000  8 Si 3.12, 8 Mn 3.31
Mn 0.0000 0.5000 0.2517  4 Si 2.38-2.39
Mn 0.0000 0.5000 0.7483  4 Si 2.38-2.39
Mn 0.5000 0.0000 0.2517  4 Si 2.38-2.39
Mn 0.5000 0.0000 0.7483  4 Si 2.38-2.39
Si 0.0000 0.0000 0.3747  4 Mn 2.39, 1 Si 2.66
Si 0.0000 0.0000 0.6253  4 Mn 2.39, 1 Si 2.66
Si 0.5000 0.5000 0.1291  4 Mn 2.38
Si 0.5000 0.5000 0.8709  4 Mn 2.38

=====

Entry 12:
LaPrMnZn: relaxed, PBE.

Summary:
Calculated total energy ... -80.3 eV per cell

a = 7.4486 Å, b = 7.4486 Å, c = 7.4486 Å
α = 90.00°, β = 90.00°, γ = 90.00°
With the nearest neighbours (Å) after each atom.
Fractional positions:
La 0.0000 0.0000 0.0000  4 Zn 3.23, 4 Mn 3.23
La 0.0000 0.5000 0.5000  4 Zn 3.23, 4 Mn 3.23
La 0.5000 0.0000 0.5000  4 Zn 3.23, 4 Mn 3.23
La 0.5000 0.5000 0.0000  4 Zn 3.23, 4 Mn 3.23
Pr 0.0000 0.0000 0.5000  4 Mn 3.23, 4 Zn 3.23
Pr 0.0000 0.5000 0.0000  4 Mn 3.23, 4 Zn 3.23
Pr 0.5000 0.0000 0.0000  4 Mn 3.23, 4 Zn 3.23
Pr 0.5000 0.5000 0.5000  4 Mn 3.23, 4 Zn 3.23
Mn 0.2500 0.2500 0.2500  4 La 3.23, 4 Pr 3.23
Mn 0.2500 0.7500 0.7500  4 La 3.23, 4 Pr 3.23
Mn 0.7500 0.2500 0.7500  4 La 3.23, 4 Pr 3.23
Mn 0.7500 0.7500 0.2500  4 La 3.23, 4 Pr 3.23
Zn 0.2500 0.2500 0.7500  4 Pr 3.23, 4 La 3.23
Zn 0.2500 0.7500 0.2500  4 Pr 3.23, 4 La 3.23
Zn 0.7500 0.2500 0.2500  4 Pr 3.23, 4 La 3.23
Zn 0.7500 0.7500 0.7500  4 Pr 3.23, 4 La 3.23

=====

Entry 13:
LaMnPt2: relaxed, PBE.

Summary:
Calculated total energy ... -28.1 eV per cell

a = 3.8038 Å, b = 3.8038 Å, c = 5.9133 Å
α = 90.00°, β = 90.00°, γ = 90.00°
With the nearest neighbours (Å) after each atom.
Fractional positions:
La 0.0000 0.0000 0.0000  6 Pt 2.84-3.07
Mn 0.5000 0.5000 0.3783  5 Pt 2.56-2.76
Pt 0.0000 0.0000 0.4806  4 Mn 2.76, 2 La 2.84-3.07
Pt 0.5000 0.5000 0.8119  1 Mn 2.56

=====

Entry 14:
LaMn3Pt: relaxed, PBE.

Summary:
Calculated total energy ... -36.9 eV per cell
Polymorph energy (0 for the lowest one) ... 0 meV/atom

a = 4.8998 Å, b = 4.8998 Å, c = 4.8998 Å
α = 90.00°, β = 90.00°, γ = 90.00°
With the nearest neighbours (Å) after each atom.
Fractional positions:
La 0.0000 0.0000 0.0000  12 Mn 3.46
Mn 0.0000 0.5000 0.5000  2 Pt 2.45
Mn 0.5000 0.0000 0.5000  2 Pt 2.45
Mn 0.5000 0.5000 0.0000  2 Pt 2.45
Pt 0.5000 0.5000 0.5000  6 Mn 2.45

=====

Entry 15:
LaMn2Pt: relaxed, PBE.

Summary:
Calculated total energy ... -59.3 eV per cell

a = 4.6188 Å, b = 5.0727 Å, c = 6.8846 Å
α = 90.00°, β = 90.00°, γ = 90.00°
With the nearest neighbours (Å) after each atom.
Fractional positions:
La 0.0000 0.0000 0.0000  4 Mn 2.92-3.05, 4 Pt 2.95-3.02
La 0.5000 0.5000 0.5000  4 Mn 2.92-3.05, 4 Pt 2.95-3.02
Mn 0.0000 0.0000 0.4998  2 Mn 2.73, 2 Pt 2.75
Mn 0.0000 0.5000 0.7897  2 Mn 2.73, 4 La 2.92-3.05, 1 Pt 2.94
Mn 0.5000 0.0000 0.2897  2 Mn 2.73, 4 La 2.92-3.05, 1 Pt 2.94
Mn 0.5000 0.5000 0.9998  2 Mn 2.73, 2 Pt 2.75
Pt 0.0000 0.5000 0.2174  3 Mn 2.75-2.94, 4 La 2.95-3.02
Pt 0.5000 0.0000 0.7174  3 Mn 2.75-2.94, 4 La 2.95-3.02

=====

Entry 16:
LaMn2Pt: relaxed, PBE.

Summary:
Calculated total energy ... -115.6 eV per cell

a = 4.2969 Å, b = 4.2969 Å, c = 18.7991 Å
α = 90.00°, β = 90.00°, γ = 90.00°
With the nearest neighbours (Å) after each atom.
Fractional positions:
La 0.0000 0.2500 0.3750  4 Pt 3.04, 8 Mn 3.36
La 0.0000 0.7500 0.6250  4 Pt 3.04, 8 Mn 3.36
La 0.5000 0.2500 0.1250  4 Pt 3.04, 8 Mn 3.36
La 0.5000 0.7500 0.8750  4 Pt 3.04, 8 Mn 3.36
Mn 0.0000 0.0000 0.0000  2 Mn 2.15
Mn 0.0000 0.5000 0.0000  2 Mn 2.15
Mn 0.2500 0.2500 0.7500  2 Mn 2.15
Mn 0.2500 0.7500 0.2500  2 Mn 2.15
Mn 0.5000 0.0000 0.5000  2 Mn 2.15
Mn 0.5000 0.5000 0.5000  2 Mn 2.15
Mn 0.7500 0.2500 0.7500  2 Mn 2.15
Mn 0.7500 0.7500 0.2500  2 Mn 2.15
Pt 0.0000 0.2500 0.8750  4 Mn 2.58
Pt 0.0000 0.7500 0.1250  4 Mn 2.58
Pt 0.5000 0.2500 0.6250  4 Mn 2.58
Pt 0.5000 0.7500 0.3750  4 Mn 2.58

=====

Entry 17:
LaMn2Pt: relaxed, PBE.

Summary:
Calculated total energy ... -29.4 eV per cell

a = 4.2115 Å, b = 4.0522 Å, c = 4.6991 Å
α = 90.00°, β = 90.31°, γ = 90.00°
With the nearest neighbours (Å) after each atom.
Fractional positions:
La 0.0000 0.0000 0.0000  4 Pt 2.92, 8 Mn 3.10-3.16
Mn 0.0000 0.5000 0.5000  4 Mn 2.92, 4 La 3.10, 4 Pt 3.15-3.16
Mn 0.5000 0.0000 0.5000  4 Mn 2.92, 4 Pt 3.10, 4 La 3.15-3.16
Pt 0.5000 0.5000 0.0000  4 La 2.92, 8 Mn 3.10-3.16

=====

Entry 18:
La4MnPt: relaxed, PBE.

Summary:
Calculated total energy ... -31.6 eV per cell

a = 6.2706 Å, b = 6.2706 Å, c = 6.2706 Å
α = 60.00°, β = 60.00°, γ = 60.00°
With the nearest neighbours (Å) after each atom.
Fractional positions:
La 0.3758 0.3758 0.3758  6 La 3.12-3.15
La 0.3758 0.3758 0.8727  6 La 3.12-3.15
La 0.3758 0.8727 0.3758  6 La 3.12-3.15
La 0.8727 0.3758 0.3758  6 La 3.12-3.15
Mn 0.0000 0.0000 0.0000  12 La 3.68, 4 Pt 3.84
Pt 0.7500 0.7500 0.7500  12 La 3.67, 4 Mn 3.84

=====

Entry 19:
LaMnPt2: relaxed, PBE.

Summary:
Calculated total energy ... -87.7 eV per cell

a = 4.4374 Å, b = 4.4374 Å, c = 14.9161 Å
α = 90.00°, β = 90.00°, γ = 120.00°
With the nearest neighbours (Å) after each atom.
Fractional positions:
La 0.0000 0.0000 0.0000  8 Pt 3.13-3.15
La 0.3333 0.6667 0.6667  8 Pt 3.13-3.15
La 0.6667 0.3333 0.3333  8 Pt 3.13-3.15
Mn 0.0000 0.0000 0.5000  6 Pt 2.64
Mn 0.3333 0.6667 0.1667  6 Pt 2.64
Mn 0.6667 0.3333 0.8333  6 Pt 2.64
Pt 0.0000 0.0000 0.2100  3 Mn 2.64, 3 Pt 2.87
Pt 0.0000 0.0000 0.7900  3 Mn 2.64, 3 Pt 2.87
Pt 0.3333 0.6667 0.4567  3 Mn 2.64, 3 Pt 2.87
Pt 0.3333 0.6667 0.8767  3 Mn 2.64, 3 Pt 2.87
Pt 0.6667 0.3333 0.1233  3 Mn 2.64, 3 Pt 2.87
Pt 0.6667 0.3333 0.5433  3 Mn 2.64, 3 Pt 2.87

=====

Entry 20:
LaMnPt2: relaxed, PBE.

Summary:
Calculated total energy ... -28.7 eV per cell

a = 3.8087 Å, b = 4.2713 Å, c = 5.5517 Å
α = 90.00°, β = 109.94°, γ = 90.00°
With the nearest neighbours (Å) after each atom.
Fractional positions:
La 0.0000 0.0000 0.0000  5 Pt 2.76-2.94
Mn 0.7159 0.5000 0.4309  7 Pt 2.90-3.00
Pt 0.2657 0.0000 0.5287  1 La 2.76, 2 Pt 2.80, 4 Mn 2.90-2.91
Pt 0.4375 0.5000 0.8742  2 Pt 2.80, 3 Mn 2.91-3.00, 4 La 2.94